Record 1
Compound: Be2FeF2
Source: the Alexandria database
Functional: GGA-PBEsol
Structure: optimized geometry

a = 2.9807 Å, b = 2.9807 Å, c = 10.8393 Å
α = 90.00°, β = 90.00°, γ = 90.00°
Space group I4/mmm (No. 139)
Asymmetric unit:
Be (0.0000, 0.0000, 0.1530) [4 per cell]
Fe (0.0000, 0.0000, 0.5000) [2 per cell]
F (0.0000, 0.5000, 0.2500) [4 per cell]

Computed properties:
- Formation energy (no corrections): -839 meV per atom
- DOS at the Fermi energy: 6.51 states/eV/cell
- Total DFT energy (no corrections): -50.025 eV per cell

Record 2
Compound: La2CrCoBr
Source: the Alexandria database
Functional: GGA-PBEsol
Structure: optimized geometry

a = 5.5160 Å, b = 5.5160 Å, c = 4.2329 Å
α = 90.00°, β = 90.00°, γ = 90.00°
Space group P4/mmm (No. 123)
Asymmetric unit:
La (0.0000, 0.5000, 0.0000) [2 per cell]
Cr (0.0000, 0.0000, 0.5000) [1 per cell]
Co (0.0000, 0.0000, 0.0000) [1 per cell]
Br (0.5000, 0.5000, 0.5000) [1 per cell]

Computed properties:
- Formation energy (no corrections): -82 meV per atom
- DOS at the Fermi energy: 4.51 states/eV/cell
- Total DFT energy (no corrections): -30.950 eV per cell

Record 3
Compound: ErCrB4
Source: the Alexandria database
Functional: GGA-PBEsol
Structure: optimized geometry

a = 5.8648 Å, b = 11.3323 Å, c = 3.3708 Å
α = 90.00°, β = 90.00°, γ = 90.00°
Space group Pbam (No. 55)
Asymmetric unit:
Er (0.1249, 0.1506, 0.0000) [4 per cell]
Cr (0.1224, 0.4204, 0.0000) [4 per cell]
B (0.0249, 0.6923, 0.5000) [4 per cell]
B (0.1136, 0.5470, 0.5000) [4 per cell]
B (0.1363, 0.9673, 0.5000) [4 per cell]
B (0.2188, 0.8156, 0.5000) [4 per cell]

Computed properties:
- DOS at the Fermi energy: 0.17 states/eV/cell
- Total DFT energy (no corrections): -190.992 eV per cell
- E_form: -752.2 meV per atom

Record 4
Compound: Dy2ZnGa
Source: the Alexandria database
Functional: GGA-PBEsol
Structure: optimized geometry

a = 7.0119 Å, b = 7.0119 Å, c = 7.0119 Å
α = 90.00°, β = 90.00°, γ = 90.00°
Space group Fm-3m (No. 225)
Asymmetric unit:
Dy (0.2500, 0.2500, 0.2500) [8 per cell]
Zn (0.0000, 0.0000, 0.0000) [4 per cell]
Ga (0.0000, 0.0000, 0.5000) [4 per cell]

Computed properties:
- DOS at the Fermi energy: 11.87 states/eV/cell
- Total DFT energy (no corrections): -67.577 eV per cell
- E_form: -503.8 meV per atom

Record 5
Compound: Cs2CaYSn
Source: the Alexandria database
Functional: GGA-PBEsol
Structure: optimized geometry

a = 6.4991 Å, b = 6.4991 Å, c = 6.3645 Å
α = 90.00°, β = 90.00°, γ = 90.00°
Space group P4/mmm (No. 123)
Asymmetric unit:
Cs (0.0000, 0.5000, 0.0000) [2 per cell]
Ca (0.0000, 0.0000, 0.5000) [1 per cell]
Y (0.0000, 0.0000, 0.0000) [1 per cell]
Sn (0.5000, 0.5000, 0.5000) [1 per cell]

Computed properties:
- DOS at the Fermi energy: 6.77 states/eV/cell
- Total DFT energy (no corrections): -10.076 eV per cell
- E_form: 1004.6 meV per atom

Record 6
Compound: CsK3
Source: the Alexandria database
Functional: GGA-PBEsol
Structure: optimized geometry

a = 6.7991 Å, b = 6.7991 Å, c = 6.7991 Å
α = 90.00°, β = 90.00°, γ = 90.00°
Space group Pm-3m (No. 221)
Asymmetric unit:
Cs (0.0000, 0.0000, 0.0000) [1 per cell]
K (0.0000, 0.5000, 0.5000) [3 per cell]

Computed properties:
- DOS at the Fermi energy: 3.61 states/eV/cell
- Total DFT energy (no corrections): -4.297 eV per cell
- E_form: 11.3 meV per atom

Record 7
Compound: GaMoSe2
Source: the Alexandria database
Functional: GGA-PBEsol
Structure: optimized geometry

a = 6.4106 Å, b = 6.4106 Å, c = 6.4106 Å
α = 90.00°, β = 90.00°, γ = 90.00°
Space group Fm-3m (No. 225)
Asymmetric unit:
Ga (0.0000, 0.0000, 0.0000) [4 per cell]
Mo (0.0000, 0.0000, 0.5000) [4 per cell]
Se (0.2500, 0.2500, 0.2500) [8 per cell]

Computed properties:
- Formation energy (no corrections): 56 meV per atom
- DOS at the Fermi energy: 7.62 states/eV/cell
- Total DFT energy (no corrections): -90.329 eV per cell

Record 8
Compound: TlP3
Source: the Alexandria database
Functional: GGA-PBEsol
Structure: optimized geometry

a = 6.5380 Å, b = 6.5380 Å, c = 6.5380 Å
α = 90.00°, β = 90.00°, γ = 90.00°
Space group Fm-3m (No. 225)
Asymmetric unit:
Tl (0.0000, 0.0000, 0.0000) [4 per cell]
P (0.0000, 0.0000, 0.5000) [4 per cell]
P (0.2500, 0.2500, 0.2500) [8 per cell]

Computed properties:
- DOS at the Fermi energy: 9.66 states/eV/cell
- Total DFT energy (no corrections): -68.243 eV per cell
- E_form: 735.9 meV per atom

Record 9
Compound: MnZnF4
Source: the Alexandria database
Functional: GGA-PBEsol
Structure: optimized geometry

a = 5.1091 Å, b = 5.2722 Å, c = 6.1427 Å
α = 115.33°, β = 110.27°, γ = 90.00°
Space group P1 (No. 1)
Asymmetric unit:
Mn (0.0000, 0.0000, 0.0000) [1 per cell]
Mn (0.4994, 0.5267, 0.9993) [1 per cell]
Zn (0.2286, 0.7267, 0.5100) [1 per cell]
Zn (0.7287, 0.3116, 0.5103) [1 per cell]
F (0.1232, 0.5824, 0.7520) [1 per cell]
F (0.2284, 0.0941, 0.7975) [1 per cell]
F (0.2997, 0.7965, 0.2467) [1 per cell]
F (0.3162, 0.3226, 0.3097) [1 per cell]
F (0.6233, 0.6971, 0.7525) [1 per cell]
F (0.7283, 0.2307, 0.7977) [1 per cell]
F (0.8002, 0.9796, 0.2474) [1 per cell]
F (0.8160, 0.5164, 0.3099) [1 per cell]

Computed properties:
- Formation energy (no corrections): -2223 meV per atom
- Total DFT energy (no corrections): -64.780 eV per cell

Record 10
Compound: ScTlCo2
Source: the Alexandria database
Functional: GGA-PBEsol
Structure: optimized geometry

a = 3.8224 Å, b = 3.8224 Å, c = 16.2907 Å
α = 90.00°, β = 90.00°, γ = 120.00°
Space group R3m (No. 160, hexagonal axes)
Asymmetric unit:
Sc (0.0000, 0.0000, 0.0000) [3 per cell]
Tl (0.0000, 0.0000, 0.1984) [3 per cell]
Co (0.0000, 0.0000, 0.4295) [3 per cell]
Co (0.0000, 0.0000, 0.7629) [3 per cell]

Computed properties:
- DOS at the Fermi energy: 10.87 states/eV/cell
- Total DFT energy (no corrections): -73.942 eV per cell
- E_form: 15.5 meV per atom

Record 11
Compound: Li2MgZn
Source: the Alexandria database
Functional: GGA-PBEsol
Structure: optimized geometry

a = 2.8381 Å, b = 4.2499 Å, c = 5.7617 Å
α = 90.00°, β = 102.52°, γ = 90.00°
Space group Pm (No. 6)
Asymmetric unit:
Li (0.0000, 0.0000, 0.0000) [1 per cell]
Li (0.4039, 0.5000, 0.2436) [1 per cell]
Mg (0.9597, 0.0000, 0.5212) [1 per cell]
Zn (0.5200, 0.5000, 0.7705) [1 per cell]

Computed properties:
- DOS at the Fermi energy: 1.40 states/eV/cell
- Total DFT energy (no corrections): -7.528 eV per cell
- E_form: -73.8 meV per atom

Record 12
Compound: NbSiPd2F
Source: the Alexandria database
Functional: GGA-PBEsol
Structure: optimized geometry

a = 4.3502 Å, b = 4.3502 Å, c = 4.8935 Å
α = 90.00°, β = 90.00°, γ = 90.00°
Space group P4/mmm (No. 123)
Asymmetric unit:
Nb (0.0000, 0.0000, 0.0000) [1 per cell]
Si (0.0000, 0.0000, 0.5000) [1 per cell]
Pd (0.0000, 0.5000, 0.5000) [2 per cell]
F (0.5000, 0.5000, 0.0000) [1 per cell]

Computed properties:
- Formation energy (no corrections): 318 meV per atom
- DOS at the Fermi energy: 5.45 states/eV/cell
- Total DFT energy (no corrections): -28.824 eV per cell